First-principles (GGA-PBE) data for crystalline AcErScPb at its relaxed geometry, as listed in Alexandria.

The space group is F-43m (No. 216) and the conventional cell measures 7.753, 7.753 and 7.753 Å, with angles of 90.00, 90.00 and 90.00 degrees. Symmetry generates all atoms from Ac at (0.000, 0.000, 0.000), Er at (0.250, 0.250, 0.250), Sc at (0.250, 0.250, 0.750) and Pb at (0.000, 0.000, 0.500).

Its total magnetization is 0.02 μB per formula unit. For the formation enthalpy at 0 K, the calculation gives -11.3 meV/atom.

***

First-principles (GGA-PBE) data for crystalline AlVPd4 at its relaxed geometry, as listed in Alexandria.

The space group is P4/mmm (No. 123) and the conventional cell measures 4.058, 4.058 and 6.074 Å, with angles of 90.00, 90.00 and 90.00 degrees. Symmetry generates all atoms from Al at (0.000, 0.000, 0.000), V at (0.500, 0.500, 0.500) and Pd at (0.000, 0.500, 0.246).

Its total magnetization is 0.90 μB per formula unit. As for the distance to the lowest polymorph of the same formula: 217 meV/atom. For the formation enthalpy at 0 K, the calculation gives -267.7 meV/atom.

***

First-principles (GGA-PBE) data for crystalline AlFeOs2 at its relaxed geometry, as listed in Alexandria.

The space group is P2/m (No. 10) and the conventional cell measures 2.711, 4.267 and 4.832 Å, with angles of 90.00, 94.56 and 90.00 degrees. Symmetry generates all atoms from Al at (0.000, 0.000, 0.000), Fe at (0.500, 0.000, 0.500) and Os at (0.261, 0.500, 0.746).

Its total magnetization is 3.21 μB per formula unit. For the formation enthalpy at 0 K, the calculation gives 82.8 meV/atom.